Run w
CaAc2Bi | Alexandria | GGA-PBE | relaxed; symmetry = P4/mmm; crystal system = tetragonal; N(E_F) = 1.0942 states/eV/atom; total magnetization = 0.000 μB per formula unit; V = 38.96 Å³/atom
1.0
4.5266 0.0000 0.0000
0.0000 4.5266 0.0000
0.0000 0.0000 7.6062
Ca Ac Bi
1 2 1
direct
0.0000 0.0000 0.0000
0.5000 0.5000 0.2662
0.5000 0.5000 0.7338
0.0000 0.0000 0.5000

=====

Run x
CaAc2Bi | Alexandria | GGA-PBE | relaxed; symmetry = P4/mmm; crystal system = tetragonal; N(E_F) = 1.1782 states/eV/atom; total magnetization = 0.000 μB per formula unit; V = 37.36 Å³/atom
1.0
5.3484 0.0000 0.0000
0.0000 5.3484 0.0000
0.0000 0.0000 5.2236
Ca Ac Bi
1 2 1
direct
0.0000 0.0000 0.0000
0.0000 0.5000 0.5000
0.5000 0.0000 0.5000
0.5000 0.5000 0.0000

=====

Run y
CaAc2Bi | Alexandria | GGA-PBE | relaxed; symmetry = Fm-3m; crystal system = cubic; N(E_F) = 1.4890 states/eV/atom; total magnetization = 0.001 μB per formula unit; V = 39.06 Å³/atom
1.0
0.0000 4.2748 4.2748
4.2748 0.0000 4.2748
4.2748 4.2748 0.0000
Ca Ac Bi
1 2 1
direct
0.0000 0.0000 0.0000
0.2500 0.2500 0.2500
0.7500 0.7500 0.7500
0.5000 0.5000 0.5000

=====

Of them, run y has the lowest stability.

=====

Run w
Ca2AcBi | Alexandria | GGA-PBE | relaxed; symmetry = R3m; crystal system = trigonal; N(E_F) = 0.5234 states/eV/atom; total magnetization = 0.000 μB per formula unit; V = 38.68 Å³/atom
1.0
2.7141 1.5670 6.0631
-2.7141 1.5670 6.0631
0.0000 -3.1340 6.0631
Ca Ac Bi
2 1 1
direct
0.0000 0.0000 0.0000
0.2368 0.2368 0.2368
0.7796 0.7796 0.7796
0.5694 0.5694 0.5694

=====

Run x
Ca2AcBi | Alexandria | GGA-PBE | relaxed; symmetry = P4/mmm; crystal system = tetragonal; N(E_F) = 0.9282 states/eV/atom; total magnetization = 0.000 μB per formula unit; V = 36.39 Å³/atom
1.0
5.1078 0.0000 0.0000
0.0000 5.1078 0.0000
0.0000 0.0000 5.5788
Ca Ac Bi
2 1 1
direct
0.0000 0.5000 0.0000
0.5000 0.0000 0.0000
0.0000 0.0000 0.5000
0.5000 0.5000 0.5000

=====

Run y
Ca2AcBi | Alexandria | GGA-PBE | relaxed; symmetry = P4/mmm; crystal system = tetragonal; N(E_F) = 0.9779 states/eV/atom; total magnetization = 0.000 μB per formula unit; V = 36.18 Å³/atom
1.0
4.4219 0.0000 0.0000
0.0000 4.4219 0.0000
0.0000 0.0000 7.4015
Ca Ac Bi
2 1 1
direct
0.0000 0.0000 0.2173
0.0000 0.0000 0.7827
0.5000 0.5000 0.5000
0.5000 0.5000 0.0000

=====

Run z
Ca2AcBi | Alexandria | GGA-PBE | relaxed; symmetry = R-3m; crystal system = trigonal; N(E_F) = 1.1237 states/eV/atom; total magnetization = 0.000 μB per formula unit; V = 44.25 Å³/atom
1.0
2.2685 1.3097 9.9294
-2.2685 1.3097 9.9294
0.0000 -2.6195 9.9294
Ca Ac Bi
2 1 1
direct
0.2231 0.2231 0.2231
0.7769 0.7769 0.7769
0.0000 0.0000 0.0000
0.5000 0.5000 0.5000

=====

Of them, run z has the lowest stability.

=====

Run w
AcCdBi | Alexandria | GGA-PBE | relaxed; symmetry = P3m1; crystal system = trigonal; N(E_F) = 0.0525 states/eV/atom; total magnetization = 0.000 μB per formula unit; V = 33.97 Å³/atom
1.0
4.9814 0.0000 0.0000
-2.4907 4.3140 0.0000
0.0000 0.0000 4.7430
Ac Cd Bi
1 1 1
direct
0.0000 0.0000 0.0000
0.3333 0.6667 0.6514
0.6667 0.3333 0.4283

=====

Run x
AcCdBi | Alexandria | GGA-PBE | relaxed; symmetry = I4mm; crystal system = tetragonal; N(E_F) = 0.8037 states/eV/atom; total magnetization = 0.000 μB per formula unit; V = 32.75 Å³/atom
1.0
-2.0581 2.0581 5.7985
2.0581 -2.0581 5.7985
2.0581 2.0581 -5.7985
Ac Cd Bi
1 1 1
direct
0.0000 0.0000 0.0000
0.3227 0.3227 0.0000
0.6927 0.6927 0.0000

=====

Of them, run x has the lowest stability.

=====

Run w
AcCd3Bi3 | Alexandria | GGA-PBE | relaxed; symmetry = Pm-3n; crystal system = cubic; N(E_F) = 0.3227 states/eV/atom; total magnetization = 0.000 μB per formula unit; V = 38.48 Å³/atom
1.0
8.1370 0.0000 0.0000
0.0000 8.1370 0.0000
0.0000 0.0000 8.1370
Ac Cd Bi
2 6 6
direct
0.0000 0.0000 0.0000
0.5000 0.5000 0.5000
0.0000 0.2500 0.5000
0.0000 0.7500 0.5000
0.2500 0.5000 0.0000
0.5000 0.0000 0.2500
0.5000 0.0000 0.7500
0.7500 0.5000 0.0000
0.0000 0.5000 0.2500
0.0000 0.5000 0.7500
0.2500 0.0000 0.5000
0.5000 0.2500 0.0000
0.5000 0.7500 0.0000
0.7500 0.0000 0.5000

=====

Run x
AcCd3Bi3 | Alexandria | GGA-PBE | relaxed; symmetry = P6_3/m; crystal system = hexagonal; N(E_F) = 0.1173 states/eV/atom; total magnetization = 0.000 μB per formula unit; V = 35.14 Å³/atom
1.0
10.9593 0.0000 0.0000
-5.4797 9.4911 0.0000
0.0000 0.0000 4.7294
Ac Cd Bi
2 6 6
direct
0.3333 0.6667 0.2500
0.6667 0.3333 0.7500
0.0452 0.4458 0.7500
0.4006 0.9548 0.7500
0.4458 0.4006 0.2500
0.5542 0.5994 0.7500
0.5994 0.0452 0.2500
0.9548 0.5542 0.2500
0.0986 0.7473 0.7500
0.2527 0.3513 0.7500
0.3513 0.0986 0.2500
0.6487 0.9014 0.7500
0.7473 0.6487 0.2500
0.9014 0.2527 0.2500

=====

Of them, run w has the lowest stability.

=====

Run w
AcCeBi | Alexandria | GGA-PBE | relaxed; symmetry = P3m1; crystal system = trigonal; N(E_F) = 2.9544 states/eV/atom; total magnetization = 1.600 μB per formula unit; V = 37.10 Å³/atom
1.0
5.4744 0.0000 0.0000
-2.7372 4.7409 0.0000
0.0000 0.0000 4.2889
Ac Ce Bi
1 1 1
direct
0.0000 0.0000 0.0000
0.3333 0.6667 0.4920
0.6667 0.3333 0.5309

=====

Run x
AcCeBi | Alexandria | GGA-PBE | relaxed; symmetry = I4mm; crystal system = tetragonal; N(E_F) = 2.8321 states/eV/atom; total magnetization = 1.298 μB per formula unit; V = 34.86 Å³/atom
1.0
-2.1462 2.1462 5.6762
2.1462 -2.1462 5.6762
2.1462 2.1462 -5.6762
Ac Ce Bi
1 1 1
direct
0.0000 0.0000 0.0000
0.3002 0.3002 0.0000
0.6698 0.6698 0.0000

=====

Of them, run w has the lowest stability.

=====

Run w
AcCuBi | Alexandria | GGA-PBE | relaxed; symmetry = C2/m; crystal system = monoclinic; N(E_F) = 0.3475 states/eV/atom; total magnetization = 0.000 μB per formula unit; V = 29.25 Å³/atom
1.0
6.2272 -2.2571 0.0000
6.2272 2.2571 0.0000
-5.5435 0.0000 6.2430
Ac Cu Bi
2 2 2
direct
0.0103 0.0103 0.2570
0.9897 0.9897 0.7430
0.3680 0.3680 0.8776
0.6320 0.6320 0.1224
0.3032 0.3032 0.2921
0.6968 0.6968 0.7079

=====

Run x
AcCuBi | Alexandria | GGA-PBE | relaxed; symmetry = I4mm; crystal system = tetragonal; N(E_F) = 0.6059 states/eV/atom; total magnetization = 0.000 μB per formula unit; V = 28.17 Å³/atom
1.0
-1.8809 1.8809 5.9727
1.8809 -1.8809 5.9727
1.8809 1.8809 -5.9727
Ac Cu Bi
1 1 1
direct
0.0000 0.0000 0.0000
0.3443 0.3443 0.0000
0.7151 0.7151 0.0000

=====

Run y
AcCuBi | Alexandria | GGA-PBE | relaxed; symmetry = F-43m; crystal system = cubic; N(E_F) = 0.7178 states/eV/atom; total magnetization = 0.000 μB per formula unit; V = 29.55 Å³/atom
1.0
0.0000 3.5388 3.5388
3.5388 0.0000 3.5388
3.5388 3.5388 0.0000
Ac Cu Bi
1 1 1
direct
0.0000 0.0000 0.0000
0.7500 0.7500 0.7500
0.5000 0.5000 0.5000

=====

Of them, run x has the lowest stability.